## Zr6Fe2Tc (PBE-GGA)

Data for a relaxed Zr6Fe2Tc crystal.

Results
Formation energy, meV/atom: -160.4
Space-group type: No. 71

POSCAR file:
```
Zr6Fe2Tc
1.0
-4.425 4.428 4.436
4.425 -4.428 4.436
4.425 4.428 -4.436
Zr Fe Tc
12 4 2
Direct
0.022 0.825 0.197
0.250 0.559 0.309
0.250 0.941 0.691
0.268 0.316 0.585
0.268 0.684 0.952
0.372 0.175 0.197
0.628 0.825 0.803
0.732 0.316 0.048
0.732 0.684 0.415
0.750 0.059 0.309
0.750 0.441 0.691
0.978 0.175 0.803
0.000 0.155 0.155
0.000 0.845 0.845
0.383 0.383 0.000
0.617 0.617 0.000
0.000 0.500 0.500
0.500 0.000 0.500
```